Compound: ZrCd2Pt
Source: Alexandria
Functional: PBE-GGA
Structure: relaxed

Properties
The formation enthalpy at 0 K comes out at -0.2874 eV per atom. As for the space-group type: Cm (8). As for the magnetic moment: 0.00 μB/f.u.

a = 5.049 Å, b = 5.049 Å, c = 5.652 Å
α = 81.05°, β = 81.05°, γ = 34.10°
Element x y z (fractional)
Cd 0.760 0.760 0.765
Cd 0.003 0.003 0.984
Zr 0.243 0.243 0.286
Pt 0.495 0.495 0.465


Compound: Ba2NiPd
Source: Alexandria
Functional: PBE-GGA
Structure: relaxed

Properties
The formation enthalpy at 0 K comes out at -0.2587 eV per atom. As for the space-group type: Cm (8). As for the magnetic moment: 0.01 μB/f.u. Its distance to the lowest polymorph of the same formula is 0.00 eV per formula unit.

a = 4.459 Å, b = 4.459 Å, c = 8.751 Å
α = 75.74°, β = 75.74°, γ = 59.97°
Element x y z (fractional)
Ba 0.204 0.204 0.380
Ba 0.046 0.046 0.870
Pd 0.458 0.458 0.626
Ni 0.792 0.792 0.624


Compound: SmThBeZn
Source: Alexandria
Functional: PBE-GGA
Structure: relaxed

Properties
The formation enthalpy at 0 K comes out at 0.0059 eV per atom. As for the space-group type: F-43m (216). As for the magnetic moment: 0.00 μB/f.u.

a = 5.063 Å, b = 5.063 Å, c = 5.063 Å
α = 60.00°, β = 60.00°, γ = 60.00°
Element x y z (fractional)
Sm 0.750 0.750 0.750
Be 0.500 0.500 0.500
Zn 0.000 0.000 0.000
Th 0.250 0.250 0.250


Compound: KLaCo2
Source: Alexandria
Functional: PBE-GGA
Structure: relaxed

Properties
The formation enthalpy at 0 K comes out at 0.2205 eV per atom. As for the space-group type: Cm (8). As for the magnetic moment: 2.22 μB/f.u. Its distance to the lowest polymorph of the same formula is 0.00 eV per formula unit.

a = 4.009 Å, b = 4.009 Å, c = 8.726 Å
α = 77.13°, β = 77.13°, γ = 59.98°
Element x y z (fractional)
K 0.535 0.535 0.404
La 0.700 0.700 0.893
Co 0.299 0.299 0.101
Co 0.966 0.966 0.101


Compound: ScMo5
Source: Alexandria
Functional: PBE-GGA
Structure: relaxed

Properties
The formation enthalpy at 0 K comes out at 0.2512 eV per atom. As for the space-group type: P6/mmm (191). As for the magnetic moment: 0.00 μB/f.u. Its distance to the lowest polymorph of the same formula is 1.57 eV per formula unit.

a = 5.392 Å, b = 5.392 Å, c = 4.377 Å
α = 90.00°, β = 90.00°, γ = 120.00°
Element x y z (fractional)
Sc 0.000 0.000 0.000
Mo 0.667 0.333 0.000
Mo 0.500 0.500 0.500
Mo 0.000 0.500 0.500
Mo 0.333 0.667 0.000
Mo 0.500 0.000 0.500


Compound: ZrOsPt2
Source: Alexandria
Functional: PBE-GGA
Structure: relaxed

Properties
The formation enthalpy at 0 K comes out at -0.5418 eV per atom. As for the space-group type: I4/mmm (139). As for the magnetic moment: 0.00 μB/f.u.

a = 5.009 Å, b = 5.009 Å, c = 5.009 Å
α = 133.29°, β = 133.31°, γ = 68.18°
Element x y z (fractional)
Zr 0.250 0.750 0.500
Pt 0.000 0.000 0.000
Pt 0.500 0.500 0.000
Os 0.750 0.250 0.500


Compound: RbScSi2O6
Source: Alexandria
Functional: PBE-GGA
Structure: relaxed

Properties
The formation energy from raw total energies comes out at -267 kJ/mol of atoms. As for the space-group type: C2/c (15). As for the magnetic moment: 0.00 μB/f.u.

a = 5.447 Å, b = 7.852 Å, c = 7.852 Å
α = 95.66°, β = 78.43°, γ = 78.43°
Element x y z (fractional)
Rb 0.250 0.884 0.116
Rb 0.750 0.116 0.884
Si 0.161 0.345 0.184
Si 0.661 0.184 0.345
Si 0.839 0.655 0.816
Si 0.339 0.816 0.655
O 0.590 0.769 0.750
O 0.910 0.250 0.231
O 0.424 0.727 0.452
O 0.924 0.452 0.727
O 0.576 0.273 0.548
O 0.254 0.313 0.970
O 0.090 0.750 0.769
O 0.246 0.030 0.687
O 0.746 0.687 0.030
O 0.410 0.231 0.250
O 0.754 0.970 0.313
O 0.076 0.548 0.273
Sc 0.250 0.284 0.716
Sc 0.750 0.716 0.284


Compound: Mn2TlCr
Source: Alexandria
Functional: PBE-GGA
Structure: relaxed

Properties
The formation enthalpy at 0 K comes out at 0.4825 eV per atom. As for the space-group type: F-43m (216). As for the magnetic moment: 4.22 μB/f.u. Its distance to the lowest polymorph of the same formula is 0.49 eV per formula unit.

a = 4.522 Å, b = 4.522 Å, c = 4.522 Å
α = 60.00°, β = 60.00°, γ = 60.00°
Element x y z (fractional)
Cr 0.500 0.500 0.500
Mn 0.000 0.000 0.000
Mn 0.250 0.250 0.250
Tl 0.750 0.750 0.750


Compound: Hf2Re2Tc
Source: Alexandria
Functional: PBE-GGA
Structure: relaxed

Properties
The formation enthalpy at 0 K comes out at -0.0187 eV per atom. As for the space-group type: P4/mbm (127). As for the magnetic moment: 0.00 μB/f.u. Its distance to the lowest polymorph of the same formula is 0.00 eV per formula unit.

a = 6.484 Å, b = 6.484 Å, c = 4.416 Å
α = 90.00°, β = 90.00°, γ = 90.00°
Element x y z (fractional)
Re 0.365 0.865 0.000
Re 0.135 0.365 0.000
Re 0.865 0.635 0.000
Re 0.635 0.135 0.000
Hf 0.178 0.678 0.500
Hf 0.678 0.822 0.500
Hf 0.822 0.322 0.500
Hf 0.322 0.178 0.500
Tc 0.000 0.000 0.000
Tc 0.500 0.500 0.000


Compound: TlPIr2
Source: Alexandria
Functional: PBE-GGA
Structure: relaxed

Properties
The formation enthalpy at 0 K comes out at 0.6832 eV per atom. As for the space-group type: Pmmm (47). As for the magnetic moment: 0.00 μB/f.u. Its distance to the lowest polymorph of the same formula is 2.52 eV per formula unit.

a = 2.964 Å, b = 5.108 Å, c = 4.464 Å
α = 90.00°, β = 90.00°, γ = 90.00°
Element x y z (fractional)
Tl 0.000 0.500 0.500
Ir 0.000 0.000 0.000
Ir 0.500 0.500 0.000
P 0.500 0.000 0.500


Compound: LiErInPt
Source: Alexandria
Functional: PBE-GGA
Structure: relaxed

Properties
The formation enthalpy at 0 K comes out at -0.7815 eV per atom. As for the space-group type: F-43m (216). As for the magnetic moment: 0.00 μB/f.u.

a = 4.768 Å, b = 4.768 Å, c = 4.768 Å
α = 60.00°, β = 60.00°, γ = 60.00°
Element x y z (fractional)
Li 0.250 0.250 0.250
Er 0.000 0.000 0.000
Pt 0.750 0.750 0.750
In 0.500 0.500 0.500


Compound: LaRhW
Source: Alexandria
Functional: PBE-GGA
Structure: relaxed

Properties
The formation enthalpy at 0 K comes out at 1.3826 eV per atom. As for the space-group type: F-43m (216). As for the magnetic moment: 2.04 μB/f.u. Its distance to the lowest polymorph of the same formula is 2.87 eV per formula unit.

a = 4.601 Å, b = 4.601 Å, c = 4.601 Å
α = 60.00°, β = 60.00°, γ = 60.00°
Element x y z (fractional)
La 0.250 0.250 0.250
Rh 0.000 0.000 0.000
W 0.500 0.500 0.500


| no. | VASP energy (eV per atom) |
| --- | --- |
| 1 | -4.392 |
| 2 | -3.964 |
| 3 | -4.279 |
| 4 | -4.839 |
| 5 | -9.830 |
| 6 | -8.507 |
| 7 | -7.561 |
| 8 | -7.100 |
| 9 | -11.053 |
| 10 | -5.691 |
| 11 | -4.596 |
| 12 | -7.028 |